First-principles (PBE+U) data for a geometry-optimized TlMoS2F structure, as listed in the Alexandria database.

Unit cell a=4.5209 b=4.5209 c=5.8091 alpha=90.00 beta=90.00 gamma=90.00
Last column: nearest neighbours and their distance in Å.
Space group P4/mmm (No. 123)
Unique sites:
Tl 0.0000 0.0000 0.0000  2 Mo 2.90, 4 F 3.20
Mo 0.0000 0.0000 0.5000  4 S 2.26
S 0.0000 0.5000 0.5000  2 Mo 2.26
F 0.5000 0.5000 0.0000  4 Tl 3.20

Output
E: -4.0643 eV/atom
D(E_F): 0.460 states/eV per atom